Here is a relaxed structure of Mn2Hg2Se from the Alexandria database. Energies are from PBE-GGA.

Properties
formation energy without anion corrections = 0.16 eV/atom

Cell: 6.7544 6.7544 4.4200 Å, 90.00 90.00 90.00°
Each line ends with the local moment (μB).
Element x y z (fractional)
Mn: 0.6563 0.1563 0.0000  3.76
Mn: 0.1563 0.3437 0.0000  3.76
Mn: 0.3437 0.8437 0.0000  3.76
Mn: 0.8437 0.6563 0.0000  3.76
Hg: 0.3470 0.1530 0.5000  -0.01
Hg: 0.1530 0.6530 0.5000  -0.02
Hg: 0.8470 0.3470 0.5000  -0.02
Hg: 0.6530 0.8470 0.5000  -0.02
Se: 0.5000 0.5000 0.0000  0.04
Se: 0.0000 0.0000 0.0000  0.04